4
Lattice="4.629 0.000 0.000 0.000 4.629 0.000 0.000 0.000 3.402" Properties=species:S:1:pos:R:3 comment="PBE GdSnRu2, optimized geometry" vol_a3_per_atom=18.22 magnetic_moment_mub_per_cell=7.1 e_tot_ev_per_atom=-9.47 formation_energy_ev_per_atom=-0.316 pbc="T T T"
Gd 0.000 0.000 0.000
Sn 2.314 2.314 0.000
Ru 0.000 2.314 1.701
Ru 2.314 0.000 1.701

=====

12
Lattice="4.506 0.000 0.000 -2.253 3.903 0.000 0.000 0.000 15.499" Properties=species:S:1:pos:R:3 comment="PBE GdSn2Ru, optimized geometry" vol_a3_per_atom=22.71 magnetic_moment_mub_per_cell=20.9 e_tot_ev_per_atom=-8.24 formation_energy_ev_per_atom=-0.399 pbc="T T T"
Gd 0.000 0.000 0.000
Gd 0.000 2.602 10.333
Gd 2.253 1.301 5.166
Sn 0.000 0.000 3.475
Sn 0.000 0.000 12.024
Sn 0.000 2.602 6.857
Sn 0.000 2.602 13.808
Sn 2.253 1.301 1.691
Sn 2.253 1.301 8.642
Ru 0.000 0.000 7.750
Ru 0.000 2.602 2.583
Ru 2.253 1.301 12.916

=====

4
Lattice="3.336 0.000 0.000 0.000 3.336 0.000 0.000 0.000 7.689" Properties=species:S:1:pos:R:3 comment="PBE GdSn2Ru, optimized geometry" vol_a3_per_atom=21.39 magnetic_moment_mub_per_cell=7.9 e_tot_ev_per_atom=-8.19 formation_energy_ev_per_atom=-0.351 pbc="T T T"
Gd 0.000 0.000 0.000
Sn 1.668 1.668 2.268
Sn 1.668 1.668 5.421
Ru 0.000 0.000 3.844

=====

3
Lattice="4.654 0.000 0.000 -2.327 4.030 0.000 0.000 0.000 3.549" Properties=species:S:1:pos:R:3 comment="PBE GdSnRu, optimized geometry" vol_a3_per_atom=22.19 magnetic_moment_mub_per_cell=7.0 e_tot_ev_per_atom=-9.50 formation_energy_ev_per_atom=-0.378 pbc="T T T"
Gd 0.000 0.000 0.000
Sn 0.000 2.687 1.775
Ru 2.327 1.343 1.775

=====

- What is the formula in the third record?
  GdSn2Ru